Record 1
Here is crystalline CoHg2Se at its relaxed geometry from Alexandria via LeMat-Bulk. Energies are from PBE-GGA.

- V: 22.36 Å³ per atom
- ΔE_f (raw): 0.069 eV/atom
- Space group: Cm (8)
- Raw total energy: -10.9 eV/f.u.

a b c (Å): 9.813 3.123 6.150
angles (deg): 90.00 108.35 90.00
Sites, in units of the cell vectors:
Co 0.000 0.000 0.000
Co 0.500 0.500 0.000
Hg 0.035 0.500 0.379
Hg 0.246 0.500 0.079
Hg 0.535 0.000 0.379
Hg 0.746 0.000 0.079
Se 0.410 0.000 0.727
Se 0.910 0.500 0.727

=====

Record 2
Here is crystalline ZrAlTcRh at its relaxed geometry from Alexandria via LeMat-Bulk. Energies are from PBE-GGA.

- V: 15.93 Å³ per atom
- Relative energy among the computed polymorphs: 0.0000 eV per atom
- Energy relative to the elements: -2.67 eV/f.u.
- Space group: Pmmm (47)
- Raw total energy: -32.7 eV/f.u.

a b c (Å): 3.287 4.366 4.439
angles (deg): 90.00 90.00 90.00
Sites, in units of the cell vectors:
Zr 0.000 0.000 0.000
Al 0.000 0.500 0.500
Tc 0.500 0.500 0.000
Rh 0.500 0.000 0.500

=====

Record 3
Here is crystalline PbW2Cl at its relaxed geometry from Alexandria via LeMat-Bulk. Energies are from PBE-GGA.

- V: 22.28 Å³ per atom
- Relative energy among the computed polymorphs: 0.2228 eV per atom
- ΔE_f (raw): 0.431 eV/atom
- Space group: P4mm (99)
- Raw total energy: -29.7 eV/f.u.

a b c (Å): 3.177 3.177 8.829
angles (deg): 90.00 90.00 90.00
Sites, in units of the cell vectors:
Pb 0.000 0.000 0.000
W 0.000 0.000 0.412
W 0.500 0.500 0.256
Cl 0.500 0.500 0.624

=====

Record 4
Here is crystalline Cr2InCu at its relaxed geometry from Alexandria via LeMat-Bulk. Energies are from PBE-GGA.

- V: 15.51 Å³ per atom
- Energy relative to the elements: 1.17 eV/f.u.
- Space group: I-4m2 (119)
- Raw total energy: -24.9 eV/f.u.

a b c (Å): 3.991 3.991 7.791
angles (deg): 90.00 90.00 90.00
Sites, in units of the cell vectors:
Cr 0.000 0.000 0.000
Cr 0.000 0.500 0.250
Cr 0.500 0.000 0.750
Cr 0.500 0.500 0.500
In 0.000 0.500 0.750
In 0.500 0.000 0.250
Cu 0.000 0.000 0.500
Cu 0.500 0.500 0.000

=====

Record 5
Here is crystalline GeAsSe2 at its relaxed geometry from Alexandria via LeMat-Bulk. Energies are from PBE-GGA.

- V: 20.24 Å³ per atom
- Relative energy among the computed polymorphs: 0.2103 eV per atom
- ΔE_f (raw): 0.274 eV/atom
- Space group: Fm-3m (225)
- Raw total energy: -15.1 eV/f.u.

a b c (Å): 6.868 6.868 6.868
angles (deg): 90.00 90.00 90.00
Sites, in units of the cell vectors:
Ge 0.000 0.000 0.000
Ge 0.000 0.500 0.500
Ge 0.500 0.000 0.500
Ge 0.500 0.500 0.000
As 0.000 0.000 0.500
As 0.000 0.500 0.000
As 0.500 0.000 0.000
As 0.500 0.500 0.500
Se 0.250 0.250 0.250
Se 0.250 0.250 0.750
Se 0.250 0.750 0.250
Se 0.250 0.750 0.750
Se 0.750 0.250 0.250
Se 0.750 0.250 0.750
Se 0.750 0.750 0.250
Se 0.750 0.750 0.750

=====

- Which value of raw total energy does entry 3 give?
  -29.7 eV/f.u.

=====

- Which of these has the highest raw total energy?
  CoHg2Se